Crystalline KGeWO5 at its relaxed geometry. Source: Alexandria, functional GGA+U.

Unit cell a=5.8891 b=5.8891 c=7.5860 alpha=105.21 beta=105.21 gamma=105.52
Last column: nearest neighbours and their distance in Å.
Fractional coordinates of all 16 atoms:
W1 0.0000 0.0000 0.0000  6 O 1.96-2.04
W2 0.0000 0.0000 0.5000  6 O 1.96-2.04
Ge1 0.6909 0.3091 0.2500  4 O 1.78
Ge2 0.3091 0.6909 0.7500  4 O 1.78
O1 0.9494 0.0506 0.7500  2 W 1.96
O2 0.7108 0.1139 0.3932  1 Ge 1.78
O3 0.3698 0.2260 0.1036  1 Ge 1.78
O4 0.8861 0.2892 0.1068  1 Ge 1.78
O5 0.6302 0.7740 0.8964  1 Ge 1.78
O6 0.7740 0.6302 0.3964  1 Ge 1.78
O7 0.2260 0.3698 0.6036  1 Ge 1.78
O8 0.0506 0.9494 0.2500  2 W 1.96
O9 0.2892 0.8861 0.6068  1 Ge 1.78
O10 0.1139 0.7108 0.8932  1 Ge 1.78
K1 0.6701 0.3299 0.7500  7 O 2.62-2.77
K2 0.3299 0.6701 0.2500  7 O 2.62-2.77

Values from the calculation:
Total magnetization   1.00 μB/f.u.
DFT total energy   -6.63 eV/atom